{"formula": "AcEr2InAu4", "functional": "PBE", "state": "relaxed", "space_group": "R-3m, No. 166", "formation_energy_ev_per_atom": -0.737, "dos_at_fermi_per_ev_fu": 4.811, "lattice_angstrom": [[-2.3086, 2.6868, 3.4462], [-4.1185, -1.7179, 2.1241], [3.0189, -3.8008, 8.5293]], "species": ["Au", "Er", "Au", "Au", "Ac", "Er", "In", "Au"], "fractional_positions": [[0.6047, 0.6047, 0.1860], [0.2309, 0.2309, 0.3074], [0.3953, 0.3953, 0.8140], [0.1195, 0.1195, 0.6414], [0.0000, 0.0000, 0.0000], [0.7691, 0.7691, 0.6926], [0.5000, 0.5000, 0.5000], [0.8805, 0.8805, 0.3586]]}